A relaxed structure of CsNbFe2O8. Source: the Alexandria database, functional PBE+U.

Properties
Magnetization in μB per formula unit: 6.00
Space-group type: P-3
Calculated total energy in eV per cell: -76.8

a = 5.5242 Å, b = 5.5242 Å, c = 8.4807 Å
α = 90.00°, β = 90.00°, γ = 120.00°
Last column: magnetic moment on the atom in μB.
Element x y z (fractional)
O (0.3333, 0.6667, 0.9025)  -0.14
O (0.6667, 0.3333, 0.0975)  -0.14
Fe (0.6667, 0.3333, 0.2945)  3.28
Nb (0.0000, 0.0000, 0.5000)  0.22
Fe (0.3333, 0.6667, 0.7055)  3.28
O (0.0828, 0.3251, 0.6381)  -0.08
O (0.3251, 0.2423, 0.3619)  -0.08
O (0.6749, 0.7577, 0.6381)  -0.08
O (0.9172, 0.6749, 0.3619)  -0.08
Cs (0.0000, 0.0000, 0.0000)  0.00
O (0.7577, 0.0828, 0.3619)  -0.08
O (0.2423, 0.9172, 0.6381)  -0.08